# 1
VASP calculation (GGA-PBE) on a relaxed YAgGe crystal.

The structure belongs to space group Cmcm (No. 63); the cell edges are 4.268, 10.107 and 5.919 Å and the angles 90.00°, 90.00° and 90.00°. The distinct sites, in fractional coordinates, are Y at (0.000, 0.191, 0.250), Ag at (0.000, 0.500, 0.000) and Ge at (0.000, 0.114, 0.750).

The raw total energy comes out at -5.111 eV per atom. The value obtained for the mass density is 7.01 g/cm³. For the density of states at the Fermi level, the calculation gives 0.476 states/eV per atom. The total moment is 0.0 Bohr magnetons per cell.



# 2
VASP calculation (GGA-PBE) on a relaxed YAgGe crystal.

The structure belongs to space group Immm (No. 71); the cell edges are 4.125, 5.910 and 10.618 Å and the angles 90.00°, 90.00° and 90.00°. The distinct sites, in fractional coordinates, are Y at (0.000, 0.000, 0.184), Ag at (0.000, 0.255, 0.500) and Ge at (0.000, 0.500, 0.122).

The raw total energy comes out at -5.119 eV per atom. The value obtained for the mass density is 6.91 g/cm³. For the density of states at the Fermi level, the calculation gives 0.223 states/eV per atom. The total moment is 0.0 Bohr magnetons per cell.



# 3
VASP calculation (GGA-PBE) on a relaxed Y2AgGe crystal.

The structure belongs to space group I-42d (No. 122); the cell edges are 5.528, 5.528 and 16.779 Å and the angles 90.00°, 90.00° and 90.00°. The distinct sites, in fractional coordinates, are Y at (0.236, 0.250, 0.125), Ag at (0.000, 0.000, 0.500) and Ge at (0.000, 0.000, 0.000).

The raw total energy comes out at -4.966 eV per atom. The value obtained for the mass density is 4.64 g/cm³. For the density of states at the Fermi level, the calculation gives 0.694 states/eV per atom. The total moment is 0.0 Bohr magnetons per cell.



# 4
VASP calculation (GGA-PBE) on a relaxed YAgGe crystal.

The structure belongs to space group Cm (No. 8); the cell edges are 16.215, 4.137 and 4.151 Å and the angles 90.00°, 104.83° and 90.00°. The distinct sites, in fractional coordinates, are Y at (0.000, 0.000, 0.000), Y at (0.250, 0.000, 0.751), Ag at (0.085, 0.500, 0.585), Ag at (0.335, 0.500, 0.336), Ge at (0.174, 0.500, 0.175) and Ge at (0.425, 0.000, 0.424).

The raw total energy comes out at -5.087 eV per atom. The value obtained for the mass density is 6.65 g/cm³. For the density of states at the Fermi level, the calculation gives 0.743 states/eV per atom. The total moment is 0.0 Bohr magnetons per cell.



# 5
VASP calculation (GGA-PBE) on a relaxed YAgGe crystal.

The structure belongs to space group C2/m (No. 12); the cell edges are 10.492, 4.295 and 7.198 Å and the angles 90.00°, 128.08° and 90.00°. The distinct sites, in fractional coordinates, are Y at (0.058, 0.000, 0.308), Ag at (0.167, 0.500, 0.083) and Ge at (0.153, 0.500, 0.668).

The raw total energy comes out at -5.179 eV per atom. The value obtained for the mass density is 7.01 g/cm³. For the density of states at the Fermi level, the calculation gives 0.321 states/eV per atom. The total moment is 0.0 Bohr magnetons per cell.



# 6
VASP calculation (GGA-PBE) on a relaxed YAg6Ge2 crystal.

The structure belongs to space group P4/mmm (No. 123); the cell edges are 4.142, 4.142 and 10.031 Å and the angles 90.00°, 90.00° and 90.00°. The distinct sites, in fractional coordinates, are Y at (0.000, 0.000, 0.000), Ag at (0.000, 0.000, 0.500), Ag at (0.000, 0.500, 0.289), Ag at (0.500, 0.500, 0.500) and Ge at (0.500, 0.500, 0.120).

The raw total energy comes out at -3.807 eV per atom. The value obtained for the mass density is 8.50 g/cm³. For the density of states at the Fermi level, the calculation gives 0.411 states/eV per atom. The total moment is 0.0 Bohr magnetons per cell.



- Look up the raw total energy of the third one.
  -4.966 eV per atom